Entry 1:
{
  "formula": "Ca2HfRu",
  "functional": "PBE",
  "state": "optimized geometry",
  "cell": [[0.000, 3.603, 3.603], [3.603, 0.000, 3.603], [3.603, 3.603, 0.000]],
  "species": ["Ru", "Ca", "Ca", "Hf"],
  "fractional_positions": [[0.000, 0.000, 0.000], [0.250, 0.250, 0.250], [0.750, 0.750, 0.750], [0.500, 0.500, 0.500]],
  "sg": "Fm-3m (225)",
  "e_form_mev_per_atom": 713,
  "final_energy_ev_per_fu": -20.38,
  "total_magnetization_mub_per_atom": 0.000
}

Entry 2:
{
  "formula": "Ca2Hf2Ru",
  "functional": "PBE",
  "state": "optimized geometry",
  "cell": [[3.790, 0.000, 0.000], [0.000, 3.790, 0.000], [1.895, 1.895, 8.294]],
  "species": ["Ru", "Ca", "Ca", "Hf", "Hf"],
  "fractional_positions": [[0.000, 0.000, 0.000], [0.750, 0.250, 0.500], [0.250, 0.750, 0.500], [0.420, 0.420, 0.159], [0.580, 0.580, 0.841]],
  "sg": "I4/mmm (139)",
  "e_form_mev_per_atom": 910,
  "final_energy_ev_per_fu": -28.63,
  "total_magnetization_mub_per_atom": 0.000
}